DFT (GGA-PBEsol) results for a relaxed structure of KLiSeBr2.

abc: 5.9989 5.9989 5.8229
angles: 90.00 90.00 90.00
Last column: nearest neighbours and their distance in Å.
Space group P4/mmm (No. 123)
Symmetry-distinct sites (fractional):
1 K 0.0000 0.0000 0.0000 [1 per cell]  2 Se 2.91, 4 Br 3.00
2 Li 0.5000 0.5000 0.5000 [1 per cell]  8 Br 4.18, 4 Se 4.24
3 Se 0.0000 0.0000 0.5000 [1 per cell]  2 K 2.91
4 Br 0.0000 0.5000 0.0000 [2 per cell]  2 K 3.00

## Properties
total magnetization = 2.03 Bohr magnetons per cell
DOS(E_F) = 4.6 states/eV/f.u.
E = -2.387 eV/atom
energy relative to the elements, uncorrected = -120 kJ/mol of formula units